DFT (PBE) results for a relaxed structure of SbW4SN2.

Geometry as CIF:
```
data_SbW4SN2
_chemical_formula_sum 'Sb1 W4 S1 N2'
_cell_length_a 3.0003
_cell_length_b 3.0003
_cell_length_c 13.6868
_cell_angle_alpha 90.00
_cell_angle_beta 90.00
_cell_angle_gamma 120.00
_space_group_name_H-M_alt 'P -6 m 2'
_space_group_IT_number 187
_space_group_name_Hall 'P -6 2'
loop_
_atom_site_label
_atom_site_type_symbol
_atom_site_fract_x
_atom_site_fract_y
_atom_site_fract_z
Sb1 Sb 0.0000 0.0000 0.0000
W1 W 0.0000 0.0000 0.3672
W2 W 0.6667 0.3333 0.1648
S1 S 0.6667 0.3333 0.5000
N1 N 0.3333 0.6667 0.2640
```

ρ = 14274 kg/m³
Total DFT energy (no corrections) = -73.4 eV for the cell shown
Spin magnetization = 0.0 Bohr magnetons per cell